No. 1
A plane-wave DFT calculation with GGA-PBE was carried out for an optimized crystal structure of Rb2NbIF6.

Cell lengths 7.4073, 7.4073, 7.4073 Å; angles 60.00, 60.00, 60.00 degrees
Fractional positions:
Rb 0.2500 0.2500 0.2500
Rb 0.7500 0.7500 0.7500
Nb 0.0000 0.0000 0.0000
I 0.5000 0.5000 0.5000
F 0.1849 0.1849 0.8151
F 0.1849 0.8151 0.1849
F 0.1849 0.8151 0.8151
F 0.8151 0.1849 0.1849
F 0.8151 0.1849 0.8151
F 0.8151 0.8151 0.1849

## Properties
The value obtained for the magnetic moment is 0.00 μB per cell. The raw total energy is -50.9 eV for the cell shown. The space group is Fm-3m. As for the formation energy from raw total energies: -2.61 eV/atom.

No. 2
A plane-wave DFT calculation with GGA-PBE was carried out for an optimized crystal structure of Rb3NbI2F6.

Cell lengths 9.6429, 9.6429, 5.6721 Å; angles 92.32, 92.32, 50.22 degrees
Fractional positions:
Rb 0.0000 0.0000 0.0000
Rb 0.0000 0.5000 0.5000
Rb 0.5000 0.0000 0.5000
Nb 0.5000 0.5000 0.5000
I 0.1988 0.1988 0.9923
I 0.8012 0.8012 0.0077
F 0.3239 0.6661 0.2636
F 0.3339 0.6761 0.7364
F 0.3879 0.3879 0.5070
F 0.6121 0.6121 0.4930
F 0.6661 0.3239 0.2636
F 0.6761 0.3339 0.7364

## Properties
The value obtained for the magnetic moment is 0.00 μB per cell. The raw total energy is -57.6 eV for the cell shown. The space group is C2/m. As for the formation energy from raw total energies: -2.52 eV/atom.

No. 3
A plane-wave DFT calculation with GGA-PBE was carried out for an optimized crystal structure of NbSbI2F.

Cell lengths 5.4295, 5.4295, 5.4562 Å; angles 90.00, 90.00, 90.00 degrees
Fractional positions:
Nb 0.0000 0.0000 0.0000
Sb 0.0000 0.0000 0.5000
I 0.0000 0.5000 0.0000
I 0.5000 0.0000 0.0000
F 0.5000 0.5000 0.5000

## Properties
The value obtained for the magnetic moment is 0.49 μB per cell. The raw total energy is -19.4 eV for the cell shown. The space group is P4/mmm. As for the formation energy from raw total energies: -0.05 eV/atom.

No. 4
A plane-wave DFT calculation with GGA-PBE was carried out for an optimized crystal structure of NbSb2IF.

Cell lengths 4.6460, 4.6460, 5.6621 Å; angles 90.00, 90.00, 90.00 degrees
Fractional positions:
Nb 0.0000 0.0000 0.0000
Sb 0.0000 0.5000 0.5000
Sb 0.5000 0.0000 0.5000
I 0.5000 0.5000 0.0000
F 0.5000 0.5000 0.5000

## Properties
The value obtained for the magnetic moment is 2.29 μB per cell. The raw total energy is -20.5 eV for the cell shown. The space group is P4/mmm. As for the formation energy from raw total energies: 0.26 eV/atom.

Number 4 is which compound?
NbSb2IF

The lowest raw total energy belongs to which entry?
Rb3NbI2F6